Entry 1:
Computed, not measured: V4ReW after structural relaxation at the GGA-PBE level of DFT.

Values from the calculation:
- ΔE to the lowest computed polymorph: 0.1699 eV per atom
- Total magnetization: 0.00 μB per formula unit
- Energy of formation: -0.0239 eV per atom

Cell lengths 6.9571, 6.9571, 6.9571 Å; angles 90.00, 90.00, 90.00 degrees
With the nearest neighbours (Å) after each atom.
Space group F-43m (No. 216)
Symmetry-distinct sites (fractional):
V1 0.1249 0.1249 0.1249 x16  6 V 2.46
Re1 0.2500 0.2500 0.7500 x4  12 V 2.88, 4 W 3.01
W1 0.0000 0.0000 0.5000 x4  12 V 2.88, 4 Re 3.01

***

Entry 2:
Computed, not measured: MgCdP2 after structural relaxation at the GGA-PBE level of DFT.

Values from the calculation:
- ΔE to the lowest computed polymorph: 0.2788 eV per atom
- Total magnetization: 0.00 μB per formula unit
- Energy of formation: 0.1623 eV per atom

Cell lengths 4.0051, 4.9103, 7.5920 Å; angles 90.00, 90.00, 90.00 degrees
With the nearest neighbours (Å) after each atom.
Space group Immm (No. 71)
Symmetry-distinct sites (fractional):
Mg1 0.0000 0.0000 0.0000 x2  4 P 2.74
Cd1 0.0000 0.0000 0.5000 x2  8 P 2.78-3.09
P1 0.0000 0.5000 0.2533 x4  2 Mg 2.74, 2 Cd 2.78

***

Entry 3:
Computed, not measured: SiPO2F after structural relaxation at the GGA-PBE level of DFT.

Values from the calculation:
- ΔE_f (raw): -5.5 eV/f.u.
- Total magnetization: 0.27 μB per formula unit

Cell lengths 3.3405, 3.3405, 5.2022 Å; angles 90.00, 90.00, 90.00 degrees
With the nearest neighbours (Å) after each atom.
Space group P4/mmm (No. 123)
Symmetry-distinct sites (fractional):
Si1 0.0000 0.0000 0.0000 x1  4 O 1.67
P1 0.0000 0.0000 0.5000 x1  4 F 2.36, 2 Si 2.60
O1 0.0000 0.5000 0.0000 x2  2 Si 1.67
F1 0.5000 0.5000 0.5000 x1  4 P 2.36